(1)
Tc2Pt2O (PBE-GGA, optimized geometry); magnetization = 0.001 μB/f.u.; mass density = 14.16 g/cm3; energy relative to the elements, uncorrected = -46.2 meV/atom; space-group type = P4/mbm
1.0
-0.549 5.341 -1.026
-5.422 -0.456 0.528
0.372 0.926 4.619
Pt Tc O
4 4 2
direct
0.674 0.826 0.500 Pt
0.826 0.326 0.500 Pt
0.174 0.674 0.500 Pt
0.326 0.174 0.500 Pt
0.669 0.169 0.000 Tc
0.331 0.831 0.000 Tc
0.169 0.331 0.000 Tc
0.831 0.669 0.000 Tc
0.500 0.500 0.000 O
0.000 0.000 0.000 O

=====

(2)
Tc2PtO (PBE-GGA, optimized geometry); magnetization = 0.000 μB/f.u.; mass density = 10.53 g/cm3; energy relative to the elements, uncorrected = 215.4 meV/atom; space-group type = I-42d
1.0
-4.382 -0.997 -0.075
0.787 -3.234 -3.021
-0.926 -6.298 3.157
Tc O Pt
4 2 2
direct
0.375 0.496 0.750 Tc
0.504 0.125 0.250 Tc
0.875 0.754 0.750 Tc
0.246 0.625 0.250 Tc
0.250 0.750 0.500 O
0.500 0.500 0.000 O
0.000 0.000 0.000 Pt
0.750 0.250 0.500 Pt

=====

(3)
TlTc2PtO8 (PBE-GGA, optimized geometry); magnetization = 0.000 μB/f.u.; mass density = 5.68 g/cm3; energy relative to the elements, uncorrected = -1064.7 meV/atom; space-group type = C2/m
1.0
5.272 -0.385 0.205
2.090 4.855 0.205
0.659 0.400 8.052
Tc O Tl Pt
2 8 1 1
direct
0.615 0.615 0.211 Tc
0.385 0.385 0.789 Tc
0.236 0.236 0.970 O
0.764 0.764 0.030 O
0.694 0.694 0.398 O
0.740 0.262 0.192 O
0.738 0.260 0.808 O
0.306 0.306 0.602 O
0.262 0.740 0.192 O
0.260 0.738 0.808 O
0.000 0.000 0.500 Tl
0.000 0.000 0.000 Pt

=====

(4)
TlTcPtO2 (PBE-GGA, optimized geometry); magnetization = 3.333 μB/f.u.; mass density = 9.35 g/cm3; energy relative to the elements, uncorrected = 666.0 meV/atom; space-group type = P4/mmm
1.0
-0.139 -2.100 -3.275
-3.384 -4.309 2.906
-3.260 1.852 -1.049
O Tc Tl Pt
2 1 1 1
direct
0.000 0.000 0.500 O
0.500 0.000 0.000 O
0.500 0.500 0.500 Tc
0.000 0.500 0.000 Tl
0.000 0.000 0.000 Pt

=====

(5)
TlTcPtO6 (PBE-GGA, optimized geometry); magnetization = 0.000 μB/f.u.; mass density = 6.93 g/cm3; energy relative to the elements, uncorrected = -882.4 meV/atom; space-group type = P312
1.0
-0.412 1.263 -5.189
-4.064 -1.925 -2.910
-3.148 4.583 1.365
O Tc Tl Pt
6 1 1 1
direct
0.620 0.988 0.316 O
0.620 0.393 0.684 O
0.987 0.393 0.316 O
0.987 0.620 0.684 O
0.393 0.988 0.684 O
0.393 0.620 0.316 O
0.667 0.667 0.500 Tc
0.000 0.000 0.000 Tl
0.333 0.333 0.500 Pt

=====

(6)
Tl2TcPt3O12 (PBE-GGA, optimized geometry); magnetization = 0.000 μB/f.u.; mass density = 8.00 g/cm3; energy relative to the elements, uncorrected = -629.6 meV/atom; space-group type = R-3m
1.0
7.284 0.094 0.067
3.679 6.287 0.067
3.679 2.142 5.911
O Tc Pt Tl
12 1 3 2
direct
0.942 0.333 0.333 O
0.309 0.936 0.936 O
0.333 0.942 0.333 O
0.064 0.064 0.691 O
0.064 0.691 0.064 O
0.936 0.309 0.936 O
0.691 0.064 0.064 O
0.936 0.936 0.309 O
0.667 0.058 0.667 O
0.058 0.667 0.667 O
0.667 0.667 0.058 O
0.333 0.333 0.942 O
0.000 0.000 0.000 Tc
0.000 0.000 0.500 Pt
0.000 0.500 0.000 Pt
0.500 0.000 0.000 Pt
0.677 0.677 0.677 Tl
0.323 0.323 0.323 Tl

=====

Q: Number 5 is which compound?
A: TlTcPtO6

=====

Q: Which value of magnetization does entry 1 give?
A: 0.001 μB/f.u.

=====

Q: What is the mass density in the first record?
A: 14.16 g/cm3